Entry 1:
Computed, not measured: Ta2TeRh at its PBEsol-relaxed geometry at the meta-GGA SCAN level of DFT.

Geometry as POSCAR:
```
Ta2TeRh
1.0
-1.673 2.289 4.498
1.673 -2.289 4.498
1.673 2.289 -4.498
Ta Te Rh
2 1 1
direct
0.000 0.000 0.000
0.731 0.231 0.500
0.255 0.755 0.500
0.483 0.483 0.000
```

Summary:
For the formation energy (no corrections), the calculation gives -9 meV/atom. Its final energy is -204.2 eV per cell.

Entry 2:
Computed, not measured: NiRh2I2 at its PBEsol-relaxed geometry at the meta-GGA SCAN level of DFT.

Geometry as POSCAR:
```
NiRh2I2
1.0
-2.600 2.600 3.730
2.600 -2.600 3.730
2.600 2.600 -3.730
Ni Rh I
1 2 2
direct
0.000 0.000 0.000
0.329 0.329 0.000
0.671 0.671 0.000
0.250 0.750 0.500
0.750 0.250 0.500
```

Summary:
For the formation energy (no corrections), the calculation gives 686 meV/atom. Its final energy is -153.8 eV per cell.

Entry 3:
Computed, not measured: La6Cu6O17 at its PBEsol-relaxed geometry at the meta-GGA SCAN level of DFT.

Geometry as POSCAR:
```
La6Cu6O17
1.0
3.341 -5.793 0.000
3.341 5.793 0.000
-1.220 0.000 10.336
La Cu O
6 6 17
direct
0.041 0.041 0.237
0.288 0.622 0.741
0.378 0.712 0.259
0.622 0.288 0.741
0.712 0.378 0.259
0.959 0.959 0.763
0.000 0.500 0.000
0.163 0.837 0.500
0.500 0.000 0.000
0.500 0.500 0.000
0.500 0.500 0.500
0.837 0.163 0.500
0.000 0.000 0.500
0.027 0.363 0.143
0.060 0.735 0.330
0.265 0.940 0.670
0.311 0.311 0.857
0.331 0.669 0.500
0.333 0.667 0.000
0.363 0.027 0.143
0.382 0.382 0.333
0.618 0.618 0.667
0.637 0.973 0.857
0.667 0.333 0.000
0.669 0.331 0.500
0.689 0.689 0.143
0.735 0.060 0.330
0.940 0.265 0.670
0.973 0.637 0.857
```

Summary:
For the formation energy (no corrections), the calculation gives -2296 meV/atom. As for the energy above the lowest structure with this stoichiometry: 0.000 eV/atom. Its final energy is -522.4 eV per cell.

Entry 4:
Computed, not measured: BaTlSb4 at its PBEsol-relaxed geometry at the meta-GGA SCAN level of DFT.

Geometry as POSCAR:
```
BaTlSb4
1.0
0.000 4.515 4.515
4.515 0.000 4.515
4.515 4.515 0.000
Ba Tl Sb
1 1 4
direct
0.000 0.000 0.000
0.750 0.750 0.750
0.377 0.377 0.377
0.377 0.377 0.870
0.377 0.870 0.377
0.870 0.377 0.377
```

Summary:
For the formation energy (no corrections), the calculation gives -339 meV/atom. Its final energy is -263.0 eV per cell.